# Cs3TbCl6, single point on PBEsol structure, DFT meta-GGA SCAN
# Formation energy without anion corrections in eV per atom: -2.353
# E_tot in eV/atom: -23.159
data_Cs3TbCl6
_space_group_name_H-M_alt 'F m -3 m'
_space_group_IT_number 225
_space_group_name_Hall '-F 4 2 3'
_cell_length_a 11.6390
_cell_length_b 11.6390
_cell_length_c 11.6390
_cell_angle_alpha 90.00
_cell_angle_beta 90.00
_cell_angle_gamma 90.00
loop_
_atom_site_label
_atom_site_fract_x
_atom_site_fract_y
_atom_site_fract_z
_atom_site_occupancy
Cs1 0.0000 0.0000 0.0000 1
Cs2 0.2500 0.2500 0.2500 1
Tb1 0.0000 0.0000 0.5000 1
Cl1 0.0000 0.0000 0.2752 1



# Cs2TcCl6, single point on PBEsol structure, DFT meta-GGA SCAN
# Formation energy without anion corrections in eV per atom: -1.643
# E_tot in eV/atom: -19.259
data_Cs2TcCl6
_space_group_name_H-M_alt 'F m -3 m'
_space_group_IT_number 225
_space_group_name_Hall '-F 4 2 3'
_cell_length_a 10.1773
_cell_length_b 10.1773
_cell_length_c 10.1773
_cell_angle_alpha 90.00
_cell_angle_beta 90.00
_cell_angle_gamma 90.00
loop_
_atom_site_label
_atom_site_fract_x
_atom_site_fract_y
_atom_site_fract_z
_atom_site_occupancy
Cs1 0.2500 0.2500 0.2500 1
Tc1 0.0000 0.0000 0.0000 1
Cl1 0.0000 0.0000 0.2304 1



# Cs2Te2Cl, single point on PBEsol structure, DFT meta-GGA SCAN
# Formation energy without anion corrections in eV per atom: -1.310
# E_tot in eV/atom: -32.930
data_Cs2Te2Cl
_space_group_name_H-M_alt 'I 4/m m m'
_space_group_IT_number 139
_space_group_name_Hall '-I 4 2'
_cell_length_a 4.3993
_cell_length_b 4.3993
_cell_length_c 20.0694
_cell_angle_alpha 90.00
_cell_angle_beta 90.00
_cell_angle_gamma 90.00
loop_
_atom_site_label
_atom_site_fract_x
_atom_site_fract_y
_atom_site_fract_z
_atom_site_occupancy
Cs1 0.0000 0.0000 0.0948 1
Te1 0.0000 0.5000 0.2500 1
Cl1 0.0000 0.0000 0.5000 1



# Cs3TeCl, single point on PBEsol structure, DFT meta-GGA SCAN
# Formation energy without anion corrections in eV per atom: -1.444
# E_tot in eV/atom: -33.176
data_Cs3TeCl
_space_group_name_H-M_alt 'P m -3 m'
_space_group_IT_number 221
_space_group_name_Hall '-P 4 2 3'
_cell_length_a 6.3333
_cell_length_b 6.3333
_cell_length_c 6.3333
_cell_angle_alpha 90.00
_cell_angle_beta 90.00
_cell_angle_gamma 90.00
loop_
_atom_site_label
_atom_site_fract_x
_atom_site_fract_y
_atom_site_fract_z
_atom_site_occupancy
Cs1 0.0000 0.0000 0.5000 1
Te1 0.5000 0.5000 0.5000 1
Cl1 0.0000 0.0000 0.0000 1



# Cs2TeCl, single point on PBEsol structure, DFT meta-GGA SCAN
# Formation energy without anion corrections in eV per atom: -1.276
# E_tot in eV/atom: -31.488
data_Cs2TeCl
_space_group_name_H-M_alt 'F m -3 m'
_space_group_IT_number 225
_space_group_name_Hall '-F 4 2 3'
_cell_length_a 8.6763
_cell_length_b 8.6763
_cell_length_c 8.6763
_cell_angle_alpha 90.00
_cell_angle_beta 90.00
_cell_angle_gamma 90.00
loop_
_atom_site_label
_atom_site_fract_x
_atom_site_fract_y
_atom_site_fract_z
_atom_site_occupancy
Cs1 0.2500 0.2500 0.2500 1
Te1 0.0000 0.0000 0.0000 1
Cl1 0.0000 0.0000 0.5000 1



# Cs2ThCl6, single point on PBEsol structure, DFT meta-GGA SCAN
# Formation energy without anion corrections in eV per atom: -2.398
# E_tot in eV/atom: -26.777
data_Cs2ThCl6
_space_group_name_H-M_alt 'P -3 m 1'
_space_group_IT_number 164
_space_group_name_Hall '-P 3 2"'
_cell_length_a 7.5398
_cell_length_b 7.5398
_cell_length_c 5.9954
_cell_angle_alpha 90.00
_cell_angle_beta 90.00
_cell_angle_gamma 120.00
loop_
_atom_site_label
_atom_site_fract_x
_atom_site_fract_y
_atom_site_fract_z
_atom_site_occupancy
Cs1 0.3333 0.6667 0.2365 1
Th1 0.0000 0.0000 0.5000 1
Cl1 0.1710 0.3419 0.7432 1



# Cs3TiCl, single point on PBEsol structure, DFT meta-GGA SCAN
# Formation energy without anion corrections in eV per atom: 0.188
# E_tot in eV/atom: -27.300
data_Cs3TiCl
_space_group_name_H-M_alt 'P m -3 m'
_space_group_IT_number 221
_space_group_name_Hall '-P 4 2 3'
_cell_length_a 6.6482
_cell_length_b 6.6482
_cell_length_c 6.6482
_cell_angle_alpha 90.00
_cell_angle_beta 90.00
_cell_angle_gamma 90.00
loop_
_atom_site_label
_atom_site_fract_x
_atom_site_fract_y
_atom_site_fract_z
_atom_site_occupancy
Cs1 0.0000 0.0000 0.5000 1
Ti1 0.0000 0.0000 0.0000 1
Cl1 0.5000 0.5000 0.5000 1



# Cs3Tl2Cl9, single point on PBEsol structure, DFT meta-GGA SCAN
# Formation energy without anion corrections in eV per atom: -1.466
# E_tot in eV/atom: -25.034
data_Cs3Tl2Cl9
_space_group_name_H-M_alt 'R -3 c'
_space_group_IT_number 167
_space_group_name_Hall '-R 3 2"c'
_cell_length_a 12.6570
_cell_length_b 12.6570
_cell_length_c 18.4571
_cell_angle_alpha 90.00
_cell_angle_beta 90.00
_cell_angle_gamma 120.00
loop_
_atom_site_label
_atom_site_fract_x
_atom_site_fract_y
_atom_site_fract_z
_atom_site_occupancy
Cs1 0.0000 0.3388 0.2500 1
Tl1 0.0000 0.0000 0.1495 1
Cl1 0.0000 0.1579 0.7500 1
Cl2 0.0029 0.1788 0.4104 1